Here is a geometry-optimized Ho2MnGa6 structure from the Alexandria database. Energies are from PBE.

Cell lengths 6.1644, 6.1644, 6.1644 Å; angles 60.00, 60.00, 60.00 degrees
Closest atoms and distances in Å follow each position.
Element x y z (fractional)
Ho  0.2500  0.2500  0.2500  12 Ga 3.09
Ho  0.7500  0.7500  0.7500  12 Ga 3.09
Mn  0.0000  0.0000  0.0000  6 Ga 2.44
Ga  0.2802  0.2802  0.7198  1 Mn 2.44, 4 Ga 2.71
Ga  0.2802  0.7198  0.2802  1 Mn 2.44, 4 Ga 2.71
Ga  0.2802  0.7198  0.7198  1 Mn 2.44, 4 Ga 2.71
Ga  0.7198  0.2802  0.2802  1 Mn 2.44, 4 Ga 2.71
Ga  0.7198  0.2802  0.7198  1 Mn 2.44, 4 Ga 2.71
Ga  0.7198  0.7198  0.2802  1 Mn 2.44, 4 Ga 2.71

Space-group type = Fm-3m, No. 225
Crystal system = cubic
Raw total energy = -41.0 eV for the cell shown